Record 1
The following is a PBE calculation of an optimized crystal structure of TbCoNi2, from Alexandria via LeMat-Bulk.

raw total energy: -94.7 eV for the cell shown
formation energy from the elements: -0.09 eV per atom

a = 4.7694 Å, b = 4.4883 Å, c = 11.8236 Å
α = 90.00°, β = 90.00°, γ = 90.00°
Space group Pmma (No. 51)
One atom of each set of equivalent atoms:
Tb 0.2500 0.0000 0.0965 (multiplicity 2)
Tb 0.2500 0.5000 0.3202 (multiplicity 2)
Co 0.2500 0.0000 0.6702 (multiplicity 2)
Co 0.2500 0.5000 0.5456 (multiplicity 2)
Ni 0.0000 0.0000 0.5000 (multiplicity 2)
Ni 0.0000 0.5000 0.0000 (multiplicity 2)
Ni 0.2500 0.2561 0.8404 (multiplicity 4)



Record 2
The following is a PBE calculation of an optimized crystal structure of ZrGeP2S, from Alexandria via LeMat-Bulk.

formation energy from raw total energies: 0.2581 eV/atom
raw total energy: -26.8 eV for the cell shown
energy above the lowest structure with this stoichiometry: 0.00 kcal/mol of atoms

a = 5.0575 Å, b = 5.0575 Å, c = 4.8904 Å
α = 90.00°, β = 90.00°, γ = 90.00°
Space group P4/mmm (No. 123)
One atom of each set of equivalent atoms:
Zr 0.0000 0.0000 0.0000 (multiplicity 1)
Ge 0.5000 0.5000 0.5000 (multiplicity 1)
P 0.0000 0.5000 0.0000 (multiplicity 2)
S 0.0000 0.0000 0.5000 (multiplicity 1)